Record 1
Entry from Alexandria via LeMat-Bulk: UTl2ReO6 after structural relaxation (PBE-GGA).

a b c (Å): 5.9175 5.9175 5.9175
angles (deg): 60.00 60.00 60.00
With the nearest neighbours (Å) after each atom.
Fractional coordinates of all 10 atoms:
U1 0.0000 0.0000 0.0000  6 O 2.20
Tl1 0.2500 0.2500 0.2500  12 O 2.96
Tl2 0.7500 0.7500 0.7500  12 O 2.96
Re1 0.5000 0.5000 0.5000  6 O 1.98
O1 0.2634 0.2634 0.7366  1 Re 1.98, 1 U 2.20
O2 0.2634 0.7366 0.2634  1 Re 1.98, 1 U 2.20
O3 0.2634 0.7366 0.7366  1 Re 1.98, 1 U 2.20
O4 0.7366 0.2634 0.2634  1 Re 1.98, 1 U 2.20
O5 0.7366 0.2634 0.7366  1 Re 1.98, 1 U 2.20
O6 0.7366 0.7366 0.2634  1 Re 1.98, 1 U 2.20

DOS at the Fermi energy: 0.457 states/eV/atom
crystal system: cubic
calculated total energy: -7.6601 eV/atom
size of the total moment: 2.95 μB per cell
formation energy without anion corrections: -1838 meV/atom
calculated volume: 146.52 Å³ per cell
SG: Fm-3m, No. 225

Record 2
Entry from Alexandria via LeMat-Bulk: V2AsSCl after structural relaxation (PBE-GGA).

a b c (Å): 4.6419 4.6419 4.6603
angles (deg): 90.00 90.00 90.00
With the nearest neighbours (Å) after each atom.
Fractional coordinates of all 5 atoms:
V1 0.0000 0.5000 0.0000  2 S 2.32
V2 0.5000 0.0000 0.0000  2 S 2.32
As1 0.0000 0.0000 0.5000  4 Cl 3.28, 8 V 3.29
S1 0.5000 0.5000 0.0000  4 V 2.32, 2 Cl 2.33
Cl1 0.5000 0.5000 0.5000  2 S 2.33

DOS at the Fermi energy: 0.974 states/eV/atom
crystal system: tetragonal
calculated total energy: -5.2304 eV/atom
size of the total moment: 4.91 μB per cell
formation energy without anion corrections: 542 meV/atom
calculated volume: 100.42 Å³ per cell
SG: P4/mmm, No. 123